1.
The following is a PBE-GGA calculation of a geometry-optimized SmMg4Zn8 structure, from OQMD via LeMat-Bulk.

Cell and atoms, written as CIF:
```
data_SmMg4Zn8
_chemical_formula_sum 'Sm2 Mg8 Zn16'
_symmetry_space_group_name_H-M 'I 4/m m m'
_symmetry_Int_Tables_number 139
_symmetry_space_group_name_Hall '-I 4 2'
_cell_length_a 9.050
_cell_length_b 9.050
_cell_length_c 5.789
_cell_angle_alpha 90.00
_cell_angle_beta 90.00
_cell_angle_gamma 90.00
loop_
_atom_site_label
_atom_site_fract_x
_atom_site_fract_y
_atom_site_fract_z
Sm1 0.000 0.000 0.000
Mg1 0.250 0.250 0.250
Zn1 0.000 0.212 0.500
Zn2 0.000 0.356 0.000
```

The total energy comes out at -45.43 eV per cell. As for the mass density: 5.40 g cm⁻³.

2.
The following is a PBE-GGA calculation of a geometry-optimized Sm2Mg2Zn15 structure, from OQMD via LeMat-Bulk.

Cell and atoms, written as CIF:
```
data_Sm2Mg2Zn15
_chemical_formula_sum 'Sm6 Mg6 Zn45'
_symmetry_space_group_name_H-M 'R -3 m'
_symmetry_Int_Tables_number 166
_symmetry_space_group_name_Hall '-R 3 2"'
_cell_length_a 9.0751
_cell_length_b 9.0751
_cell_length_c 13.3496
_cell_angle_alpha 90.00
_cell_angle_beta 90.00
_cell_angle_gamma 120.00
loop_
_atom_site_label
_atom_site_fract_x
_atom_site_fract_y
_atom_site_fract_z
Sm1 0.0000 0.0000 0.1583
Mg1 0.0000 0.0000 0.3963
Zn1 0.0000 0.2948 0.5000
Zn2 0.0000 0.5000 0.0000
Zn3 0.0103 0.5052 0.6512
```

The total energy comes out at -108.75 eV per cell. As for the mass density: 6.96 g cm⁻³.

3.
The following is a PBE-GGA calculation of a geometry-optimized SmMg4Zn8 structure, from OQMD via LeMat-Bulk.

Cell and atoms, written as CIF:
```
data_SmMg4Zn8
_chemical_formula_sum 'Sm2 Mg8 Zn16'
_symmetry_space_group_name_H-M 'I 4/m m m'
_symmetry_Int_Tables_number 139
_symmetry_space_group_name_Hall '-I 4 2'
_cell_length_a 9.292
_cell_length_b 9.292
_cell_length_c 5.417
_cell_angle_alpha 90.00
_cell_angle_beta 90.00
_cell_angle_gamma 90.00
loop_
_atom_site_label
_atom_site_fract_x
_atom_site_fract_y
_atom_site_fract_z
Sm1 0.000 0.000 0.000
Mg1 0.000 0.228 0.500
Zn1 0.000 0.353 0.000
Zn2 0.250 0.250 0.250
```

The total energy comes out at -45.65 eV per cell. As for the mass density: 5.47 g cm⁻³.

4.
The following is a PBE-GGA calculation of a geometry-optimized SrMg2ZnSn structure, from OQMD via LeMat-Bulk.

Cell and atoms, written as CIF:
```
data_SrMg2ZnSn
_chemical_formula_sum 'Sr2 Mg4 Zn2 Sn2'
_symmetry_space_group_name_H-M 'I 4 m m'
_symmetry_Int_Tables_number 107
_symmetry_space_group_name_Hall 'I 4 -2'
_cell_length_a 4.596
_cell_length_b 4.596
_cell_length_c 12.342
_cell_angle_alpha 90.00
_cell_angle_beta 90.00
_cell_angle_gamma 90.00
loop_
_atom_site_label
_atom_site_fract_x
_atom_site_fract_y
_atom_site_fract_z
Sr1 0.000 0.000 0.000
Mg1 0.000 0.500 0.247
Zn1 0.000 0.000 0.613
Sn1 0.000 0.000 0.395
```

The total energy comes out at -23.52 eV per cell. As for the mass density: 4.08 g cm⁻³.

5.
The following is a PBE-GGA calculation of a geometry-optimized MgTa2Sn structure, from OQMD via LeMat-Bulk.

Cell and atoms, written as CIF:
```
data_MgTa2Sn
_chemical_formula_sum 'Mg4 Ta8 Sn4'
_symmetry_space_group_name_H-M 'F -4 3 m'
_symmetry_Int_Tables_number 216
_symmetry_space_group_name_Hall 'F -4 2 3'
_cell_length_a 6.743
_cell_length_b 6.743
_cell_length_c 6.743
_cell_angle_alpha 90.00
_cell_angle_beta 90.00
_cell_angle_gamma 90.00
loop_
_atom_site_label
_atom_site_fract_x
_atom_site_fract_y
_atom_site_fract_z
Mg1 0.000 0.000 0.000
Ta1 0.000 0.000 0.500
Ta2 0.250 0.250 0.250
Sn1 0.250 0.250 0.750
```

The total energy comes out at -112.27 eV per cell. As for the mass density: 10.94 g cm⁻³.

6.
The following is a PBE-GGA calculation of a geometry-optimized MgTaTcSn structure, from OQMD via LeMat-Bulk.

Cell and atoms, written as CIF:
```
data_MgTaTcSn
_chemical_formula_sum 'Mg4 Ta4 Tc4 Sn4'
_symmetry_space_group_name_H-M 'F -4 3 m'
_symmetry_Int_Tables_number 216
_symmetry_space_group_name_Hall 'F -4 2 3'
_cell_length_a 6.518
_cell_length_b 6.518
_cell_length_c 6.518
_cell_angle_alpha 90.00
_cell_angle_beta 90.00
_cell_angle_gamma 90.00
loop_
_atom_site_label
_atom_site_fract_x
_atom_site_fract_y
_atom_site_fract_z
Mg1 0.000 0.000 0.000
Ta1 0.250 0.250 0.750
Tc1 0.000 0.000 0.500
Sn1 0.250 0.250 0.250
```

The total energy comes out at -111.50 eV per cell. As for the mass density: 10.12 g cm⁻³.

7.
The following is a PBE-GGA calculation of a geometry-optimized MgTaTcSn structure, from OQMD via LeMat-Bulk.

Cell and atoms, written as CIF:
```
data_MgTaTcSn
_chemical_formula_sum 'Mg4 Ta4 Tc4 Sn4'
_symmetry_space_group_name_H-M 'F -4 3 m'
_symmetry_Int_Tables_number 216
_symmetry_space_group_name_Hall 'F -4 2 3'
_cell_length_a 6.569
_cell_length_b 6.569
_cell_length_c 6.569
_cell_angle_alpha 90.00
_cell_angle_beta 90.00
_cell_angle_gamma 90.00
loop_
_atom_site_label
_atom_site_fract_x
_atom_site_fract_y
_atom_site_fract_z
Mg1 0.000 0.000 0.000
Ta1 0.250 0.250 0.750
Tc1 0.250 0.250 0.250
Sn1 0.000 0.000 0.500
```

The total energy comes out at -104.98 eV per cell. As for the mass density: 9.89 g cm⁻³.

8.
The following is a PBE-GGA calculation of a geometry-optimized MgTcSn structure, from OQMD via LeMat-Bulk.

Cell and atoms, written as CIF:
```
data_MgTcSn
_chemical_formula_sum 'Mg4 Tc4 Sn4'
_symmetry_space_group_name_H-M 'F -4 3 m'
_symmetry_Int_Tables_number 216
_symmetry_space_group_name_Hall 'F -4 2 3'
_cell_length_a 6.335
_cell_length_b 6.335
_cell_length_c 6.335
_cell_angle_alpha 90.00
_cell_angle_beta 90.00
_cell_angle_gamma 90.00
loop_
_atom_site_label
_atom_site_fract_x
_atom_site_fract_y
_atom_site_fract_z
Mg1 0.000 0.000 0.000
Tc1 0.250 0.250 0.250
Sn1 0.000 0.000 0.500
```

The total energy comes out at -59.67 eV per cell. As for the mass density: 6.30 g cm⁻³.

Which value of mass density does entry 8 give? 6.30 g cm⁻³

mass density of number 3 (SmMg4Zn8)? 5.47 g cm⁻³

Copy entry 3 word for word.
The following is a PBE-GGA calculation of a geometry-optimized SmMg4Zn8 structure, from OQMD via LeMat-Bulk.

Cell and atoms, written as CIF:
```
data_SmMg4Zn8
_chemical_formula_sum 'Sm2 Mg8 Zn16'
_symmetry_space_group_name_H-M 'I 4/m m m'
_symmetry_Int_Tables_number 139
_symmetry_space_group_name_Hall '-I 4 2'
_cell_length_a 9.292
_cell_length_b 9.292
_cell_length_c 5.417
_cell_angle_alpha 90.00
_cell_angle_beta 90.00
_cell_angle_gamma 90.00
loop_
_atom_site_label
_atom_site_fract_x
_atom_site_fract_y
_atom_site_fract_z
Sm1 0.000 0.000 0.000
Mg1 0.000 0.228 0.500
Zn1 0.000 0.353 0.000
Zn2 0.250 0.250 0.250
```

The total energy comes out at -45.65 eV per cell. As for the mass density: 5.47 g cm⁻³.